The following is a DFT calculation (GGA-PBE) of an optimized crystal structure of LaMg2CrRe.

Calculated values
formation energy from the elements	2.3544	eV per atom
mass density	5.99	Mg/m³

Cell lengths 5.2253, 5.2253, 4.3224 Å; angles 90.00, 90.00, 90.00 degrees
With the nearest neighbours (Å) after each atom.
Atoms (fractional coordinates):
La1 0.0000 0.0000 0.0000  2 Cr 2.16
Mg1 0.0000 0.5000 0.0000  2 La 2.61
Mg2 0.5000 0.0000 0.0000  2 La 2.61
Cr1 0.0000 0.0000 0.5000  2 La 2.16
Re1 0.5000 0.5000 0.5000  8 Mg 3.39, 4 Cr 3.69